1.
Material: LiRePb2
Method: DFT, PBE
State: optimized geometry

Unit cell a=10.9352 b=3.1149 c=4.8811 alpha=90.00 beta=97.02 gamma=90.00
Space group Cm (No. 8)
Unique sites:
Li1 0.0000 0.0000 0.0000 x2
Re1 0.2759 0.0000 0.7246 x2
Pb1 0.0295 0.5000 0.5334 x2
Pb2 0.2638 0.5000 0.2077 x2

Calculated values
Energy relative to the lowest polymorph listed for this composition in meV per atom: 143
Formation energy in eV per atom: 0.609
Electronic total energy in eV for the cell shown: -38.7
Total magnetic moment in Bohr magnetons per cell: 0.285
Crystal system: monoclinic

=====

2.
Material: Pm3PrSm3Se8
Method: DFT, PBE
State: optimized geometry

Unit cell a=8.3497 b=8.3497 c=20.4668 alpha=90.00 beta=90.00 gamma=120.00
Space group R-3m (No. 166, hexagonal axes)
Unique sites:
Pm1 0.0000 0.5000 0.0000 x9
Pr1 0.0000 0.0000 0.5000 x3
Sm1 0.0000 0.5000 0.5000 x9
Se1 0.0000 0.0000 0.2493 x6
Se2 0.0095 0.5047 0.7483 x18

Calculated values
Electronic total energy in eV for the cell shown: -267.3
Energy relative to the elements, uncorrected in meV/atom: -1869
Total magnetic moment in Bohr magnetons per cell: 0.000
Crystal system: trigonal

=====

3.
Material: Al2CrHg
Method: DFT, PBE
State: optimized geometry

Unit cell a=3.5060 b=3.5060 c=5.6115 alpha=90.00 beta=90.00 gamma=90.00
Space group P4mm (No. 99)
Unique sites:
Al1 0.0000 0.0000 0.0000 x1
Al2 0.5000 0.5000 0.2550 x1
Cr1 0.0000 0.0000 0.4688 x1
Hg1 0.5000 0.5000 0.7461 x1

Calculated values
Formation energy in eV per atom: 0.181
Electronic total energy in eV for the cell shown: -16.7
Total magnetic moment in Bohr magnetons per cell: 3.123
Crystal system: tetragonal

=====

4.
Material: Ce8ZnIr5
Method: DFT, PBE
State: optimized geometry

Unit cell a=8.8258 b=8.8258 c=8.6039 alpha=90.00 beta=90.00 gamma=90.00
Space group I-4 (No. 82)
Unique sites:
Ce1 0.0624 0.1767 0.3202 x8
Ce2 0.0625 0.3044 0.9313 x8
Zn1 0.0000 0.5000 0.2500 x2
Ir1 0.0000 0.0000 0.0000 x2
Ir2 0.1339 0.2516 0.6220 x8

Calculated values
Formation energy in eV per atom: -0.597
Electronic total energy in eV for the cell shown: -202.8
Total magnetic moment in Bohr magnetons per cell: 7.230
Crystal system: tetragonal